[1]
TaMoPb2 after structural relaxation. Source: Alexandria via LeMat-Bulk, functional PBE.

Geometry as extended XYZ:
```
4
Lattice="-2.139 2.139 4.566 2.139 -2.139 4.566 2.139 2.139 -4.566" Properties=species:S:1:pos:R:3 pbc="T T T"
Ta 0.000 0.000 0.000
Mo 2.139 0.000 2.283
Pb 0.000 0.000 4.566
Pb 0.000 2.139 2.283
```

Results
- Distance to the lowest polymorph of the same formula: 543 meV/atom
- Density of states at the Fermi level: 3.9 states/eV/f.u.
- DFT formation energy: 3.300 eV/f.u.

---

[2]
Ta3MoPb after structural relaxation. Source: Alexandria via LeMat-Bulk, functional PBE.

Geometry as extended XYZ:
```
5
Lattice="4.890 0.000 0.000 0.000 4.890 0.000 0.000 0.000 4.890" Properties=species:S:1:pos:R:3 pbc="T T T"
Ta 0.000 0.000 2.445
Ta 0.000 2.445 0.000
Ta 2.445 0.000 0.000
Mo 0.000 0.000 0.000
Pb 2.445 2.445 2.445
```

Results
- Distance to the lowest polymorph of the same formula: 0 meV/atom
- Density of states at the Fermi level: 2.7 states/eV/f.u.
- DFT formation energy: 6.280 eV/f.u.

---

[3]
TaMoPb2 after structural relaxation. Source: Alexandria via LeMat-Bulk, functional PBE.

Geometry as extended XYZ:
```
4
Lattice="-1.717 2.598 4.744 1.717 -2.598 4.744 1.717 2.598 -4.744" Properties=species:S:1:pos:R:3 pbc="T T T"
Ta 0.000 0.000 0.000
Mo 0.000 0.000 4.744
Pb 1.717 0.000 2.449
Pb 0.000 2.598 2.295
```

Results
- Distance to the lowest polymorph of the same formula: 504 meV/atom
- Density of states at the Fermi level: 3.9 states/eV/f.u.
- DFT formation energy: 3.142 eV/f.u.

---

[4]
TaMoPb2 after structural relaxation. Source: Alexandria via LeMat-Bulk, functional PBE.

Geometry as extended XYZ:
```
4
Lattice="1.737 -2.576 0.000 1.737 2.576 0.000 0.000 0.000 10.660" Properties=species:S:1:pos:R:3 pbc="T T T"
Ta 0.000 0.000 0.000
Mo 1.737 0.000 1.934
Pb 0.000 0.000 4.398
Pb 1.737 0.000 8.044
```

Results
- Distance to the lowest polymorph of the same formula: 72 meV/atom
- Density of states at the Fermi level: 1.8 states/eV/f.u.
- DFT formation energy: 1.416 eV/f.u.

---

[5]
TaMoPb2 after structural relaxation. Source: Alexandria via LeMat-Bulk, functional PBE.

Geometry as extended XYZ:
```
4
Lattice="1.768 -2.592 0.000 1.768 2.592 0.000 0.000 0.000 9.234" Properties=species:S:1:pos:R:3 pbc="T T T"
Ta 0.000 0.000 0.000
Mo 0.000 0.000 4.617
Pb 1.768 0.000 2.373
Pb 1.768 0.000 6.862
```

Results
- Distance to the lowest polymorph of the same formula: 527 meV/atom
- Density of states at the Fermi level: 3.8 states/eV/f.u.
- DFT formation energy: 3.233 eV/f.u.

---

[6]
Ta2TiMoPb after structural relaxation. Source: Alexandria via LeMat-Bulk, functional PBE.

Geometry as extended XYZ:
```
5
Lattice="5.068 0.000 0.000 0.000 5.068 0.000 0.000 0.000 4.963" Properties=species:S:1:pos:R:3 pbc="T T T"
Ta 0.000 2.534 0.000
Ta 2.534 0.000 0.000
Ti 0.000 0.000 2.481
Mo 2.534 2.534 2.481
Pb 2.534 2.534 0.000
```

Results
- Density of states at the Fermi level: 7.9 states/eV/f.u.
- DFT formation energy: 11.817 eV/f.u.